1.
USbH | PBE | relaxed

a = 3.9472 Å, b = 3.9472 Å, c = 4.2360 Å
α = 90.00°, β = 90.00°, γ = 120.00°
Space group P-6m2 (No. 187)
One atom of each set of equivalent atoms:
U: 0.0000 0.0000 0.0000
Sb: 0.6667 0.3333 0.5000
H: 0.3333 0.6667 0.0000

Summary:
Its crystal system is hexagonal. As for the calculated total energy: -6.5784 eV per atom.

---

2.
HoOsNO | PBE | relaxed

a = 4.792 Å, b = 4.792 Å, c = 4.276 Å
α = 90.00°, β = 90.00°, γ = 90.00°
Space group P4/nmm (No. 129, origin choice 2)
One atom of each set of equivalent atoms:
Ho: 0.250 0.750 0.000
Os: 0.250 0.250 0.496
N: 0.250 0.250 0.996
O: 0.250 0.750 0.500

Summary:
The excess energy over the best structure of this formula in the dataset is 0.637 eV per atom. Its crystal system is tetragonal. As for the calculated total energy: -7.9172 eV per atom.

---

3.
Cu2Ag3 | PBE | relaxed

a = 9.384 Å, b = 2.854 Å, c = 11.746 Å
α = 90.00°, β = 99.45°, γ = 90.00°
Space group C2/m (No. 12)
One atom of each set of equivalent atoms:
Cu: 0.064 0.000 0.355
Cu: 0.235 0.500 0.257
Ag: 0.059 0.500 0.830
Ag: 0.145 0.500 0.557
Ag: 0.147 0.000 0.056

Summary:
The excess energy over the best structure of this formula in the dataset is 0.043 eV per atom. Its crystal system is monoclinic. The calculation puts the energy of formation from the pure elements at 0.38 eV/f.u. As for the calculated total energy: -3.1057 eV per atom.